15
Lattice="3.378 1.951 5.578 -3.378 1.951 5.578 0.000 -3.901 5.578" Properties=species:S:1:pos:R:3 comment="Ho3Np3ScN8 PBE optimized geometry" crystal_system=trigonal rho_g_cm3=10.26 total_energy_ev_per_atom=-9.690 pbc="T T T"
Ho -1.689 -0.975 5.578
Ho -1.689 0.975 11.156
Ho 0.000 1.951 5.578
Np -3.378 0.000 8.367
Np -1.689 0.975 2.789
Np 1.689 0.975 2.789
Sc 0.000 0.000 8.367
N -1.639 -0.946 9.569
N 0.000 0.000 4.201
N 0.000 -1.893 7.165
N -1.639 0.946 7.165
N 1.639 -0.946 9.569
N 0.000 1.893 9.569
N 0.000 0.000 12.533
N 1.639 0.946 7.165